Entry 1:
Density functional theory data (PBE) for crystalline NaDyCdIn at its relaxed geometry.

Summary:
Density of states at the Fermi level: 1.967 states/eV/f.u.
VASP energy: -2.620 eV/atom
Energy of formation: -226 meV per atom
M_tot: 0.00 μB per cell

Unit cell a=5.2466 b=5.2466 c=5.2466 alpha=60.00 beta=60.00 gamma=60.00
Fractional positions:
1 Cd 0.7500 0.7500 0.7500
2 In 0.2500 0.2500 0.2500
3 Na 0.0000 0.0000 0.0000
4 Dy 0.5000 0.5000 0.5000

***

Entry 2:
Density functional theory data (PBE) for crystalline LiHoAg2 at its relaxed geometry.

Summary:
Density of states at the Fermi level: 2.718 states/eV/f.u.
VASP energy: -3.282 eV/atom
Energy above the most stable polymorph in this dataset: 0 kJ/mol of formula units
Energy of formation: -234 meV per atom
M_tot: 0.00 μB per cell

Unit cell a=3.4805 b=3.4805 c=6.6903 alpha=90.00 beta=90.00 gamma=90.00
Fractional positions:
1 Ho 0.5000 0.5000 0.5000
2 Ag 0.0000 0.0000 0.7825
3 Ag 0.0000 0.0000 0.2175
4 Li 0.5000 0.5000 0.0000

***

Entry 3:
Density functional theory data (PBE) for crystalline Ag2HgW at its relaxed geometry.

Summary:
Density of states at the Fermi level: 2.473 states/eV/f.u.
VASP energy: -4.257 eV/atom
Energy of formation: 483 meV per atom
M_tot: 0.00 μB per cell

Unit cell a=2.8240 b=2.8240 c=9.0863 alpha=90.00 beta=90.00 gamma=90.00
Fractional positions:
1 Ag 0.0000 0.0000 0.9862
2 Ag 0.0000 0.0000 0.5138
3 Hg 0.5000 0.5000 0.2500
4 W 0.5000 0.5000 0.7500

***

Entry 4:
Density functional theory data (PBE) for crystalline TaMnRu2 at its relaxed geometry.

Summary:
Density of states at the Fermi level: 4.593 states/eV/f.u.
VASP energy: -9.777 eV/atom
Energy above the most stable polymorph in this dataset: 146 kJ/mol of formula units
Energy of formation: 116 meV per atom
M_tot: 3.88 μB per cell

Unit cell a=8.8135 b=8.8135 c=8.8135 alpha=18.51 beta=18.51 gamma=18.51
Last column: magnetic moment on the atom in μB.
Fractional positions:
1 Mn 0.7500 0.7500 0.7500  3.25
2 Ru 0.0034 0.0034 0.0034  0.12
3 Ru 0.4966 0.4966 0.4966  0.12
4 Ta 0.2500 0.2500 0.2500  0.15